(1)
First-principles (GGA-PBE) data for a geometry-optimized MnCuH2 structure, as listed in Alexandria.

Properties
Total energy in eV/atom: -4.870
V in Å³/cell: 30.0
Space-group type: R3m
Magnetic moment in Bohr magnetons per cell: 2.03
N(E_F) in states/eV per atom: 0.3857

a = 2.6655 Å, b = 2.6655 Å, c = 5.1081 Å
α = 74.88°, β = 74.88°, γ = 60.00°
Last column: nearest neighbours and their distance in Å.
Fractional positions:
Mn (0.6697, 0.6697, 0.9908)  6 H 1.77-1.78
Cu (0.4922, 0.4922, 0.5233)  6 H 2.09-2.30
H (0.0622, 0.0622, 0.8133)  3 Mn 1.77
H (0.2758, 0.2758, 0.1726)  3 Mn 1.78


(2)
First-principles (GGA-PBE) data for a geometry-optimized MnCuH structure, as listed in Alexandria.

Properties
Total energy in eV/atom: -5.425
V in Å³/cell: 26.8
Space-group type: P3m1
Magnetic moment in Bohr magnetons per cell: 2.52
N(E_F) in states/eV per atom: 0.3751

a = 2.6320 Å, b = 2.6320 Å, c = 4.4746 Å
α = 90.00°, β = 90.00°, γ = 120.00°
Last column: nearest neighbours and their distance in Å.
Fractional positions:
H (0.3333, 0.6667, 0.6248)  3 Mn 1.76
Mn (0.6667, 0.3333, 0.4244)  3 H 1.76
Cu (0.0000, 0.0000, 0.9507)  3 H 2.11


(3)
First-principles (GGA-PBE) data for a geometry-optimized Mn2CuH structure, as listed in Alexandria.

Properties
Total energy in eV/atom: -5.820
V in Å³/cell: 45.9
Space-group type: Fm-3m
Magnetic moment in Bohr magnetons per cell: 6.93
N(E_F) in states/eV per atom: 1.0453

a = 4.0183 Å, b = 4.0183 Å, c = 4.0183 Å
α = 60.00°, β = 60.00°, γ = 60.00°
Last column: nearest neighbours and their distance in Å.
Fractional positions:
H (0.0000, 0.0000, 0.0000)  8 Mn 2.46
Mn (0.2500, 0.2500, 0.2500)  4 H 2.46, 4 Cu 2.46
Mn (0.7500, 0.7500, 0.7500)  4 Cu 2.46, 4 H 2.46
Cu (0.5000, 0.5000, 0.5000)  8 Mn 2.46


(4)
First-principles (GGA-PBE) data for a geometry-optimized Mn2CuH2 structure, as listed in Alexandria.

Properties
Total energy in eV/atom: -5.469
V in Å³/cell: 78.5
Space-group type: P4/mbm
Magnetic moment in Bohr magnetons per cell: 2.82
N(E_F) in states/eV per atom: 0.7336

a = 5.4981 Å, b = 5.4981 Å, c = 2.5957 Å
α = 90.00°, β = 90.00°, γ = 90.00°
Last column: nearest neighbours and their distance in Å.
Fractional positions:
H (0.3446, 0.8446, 0.0000)  6 Mn 2.05-2.11, 2 Cu 2.08
H (0.8446, 0.6554, 0.0000)  6 Mn 2.05-2.11, 2 Cu 2.08
H (0.6554, 0.1554, 0.0000)  6 Mn 2.05-2.11, 2 Cu 2.08
H (0.1554, 0.3446, 0.0000)  6 Mn 2.05-2.11, 2 Cu 2.08
Mn (0.1312, 0.6312, 0.5000)  1 Mn 2.04, 6 H 2.05-2.11
Mn (0.6312, 0.8688, 0.5000)  1 Mn 2.04, 6 H 2.05-2.11
Mn (0.8688, 0.3688, 0.5000)  1 Mn 2.04, 6 H 2.05-2.11
Mn (0.3688, 0.1312, 0.5000)  1 Mn 2.04, 6 H 2.05-2.11
Cu (0.0000, 0.0000, 0.0000)  4 H 2.08
Cu (0.5000, 0.5000, 0.0000)  4 H 2.08


(5)
First-principles (GGA-PBE) data for a geometry-optimized Mn2CuH structure, as listed in Alexandria.

Properties
Total energy in eV/atom: -6.258
V in Å³/cell: 72.7
Space-group type: I4/mmm
Magnetic moment in Bohr magnetons per cell: 0.00
N(E_F) in states/eV per atom: 0.5881

a = 2.7424 Å, b = 2.7424 Å, c = 9.6615 Å
α = 90.00°, β = 90.00°, γ = 90.00°
Last column: nearest neighbours and their distance in Å.
Fractional positions:
Mn (0.0000, 0.0000, 0.6867)  1 H 1.80
Mn (0.0000, 0.0000, 0.3133)  1 H 1.80
Mn (0.5000, 0.5000, 0.1867)  1 H 1.80
Mn (0.5000, 0.5000, 0.8133)  1 H 1.80
Cu (0.0000, 0.0000, 0.0000)  4 H 1.94
Cu (0.5000, 0.5000, 0.5000)  4 H 1.94
H (0.0000, 0.0000, 0.5000)  2 Mn 1.80, 4 Cu 1.94
H (0.5000, 0.5000, 0.0000)  2 Mn 1.80, 4 Cu 1.94


(6)
First-principles (GGA-PBE) data for a geometry-optimized MnCuH2 structure, as listed in Alexandria.

Properties
Total energy in eV/atom: -4.568
V in Å³/cell: 31.3
Space-group type: Fm-3m
Magnetic moment in Bohr magnetons per cell: 3.10
N(E_F) in states/eV per atom: 0.3226

a = 3.5356 Å, b = 3.5356 Å, c = 3.5356 Å
α = 60.00°, β = 60.00°, γ = 60.00°
Last column: nearest neighbours and their distance in Å.
Fractional positions:
H (0.2500, 0.2500, 0.2500)  4 Mn 2.17, 4 Cu 2.17
H (0.7500, 0.7500, 0.7500)  4 Mn 2.17, 4 Cu 2.17
Mn (0.0000, 0.0000, 0.0000)  8 H 2.17
Cu (0.5000, 0.5000, 0.5000)  8 H 2.17


| no. | ρ (Mg/m³) |
| --- | --- |
| 1 | 6.677 |
| 2 | 7.392 |
| 3 | 6.313 |
| 4 | 7.426 |
| 5 | 7.972 |
| 6 | 6.402 |